Crystalline CoRePd at its relaxed geometry, computed with GGA-PBE.

Cell lengths 5.902, 5.902, 5.902 Å; angles 153.52, 153.52, 37.79 degrees
Element x y z (fractional)
Co: 0.000 0.000 0.000
Re: 0.354 0.354 0.000
Pd: 0.672 0.672 0.000

Summary:
ΔH_f (0 K)	21	kJ/mol of formula units
Fermi-level density of states	2.58	states/eV per cell
polymorph energy (0 for the lowest one)	0.000	eV per atom
SG	No. 107
E_tot	-0.3005	hartree per atom

***

Crystalline Co2RePd at its relaxed geometry, computed with GGA-PBE.

Cell lengths 5.326, 5.326, 5.326 Å; angles 104.21, 104.21, 120.60 degrees
Element x y z (fractional)
Co: 0.097 0.625 0.972
Co: 0.375 0.347 0.472
Co: 0.653 0.125 0.028
Co: 0.875 0.903 0.528
Re: 0.000 0.000 0.000
Re: 0.750 0.250 0.500
Pd: 0.250 0.750 0.500
Pd: 0.500 0.500 0.000

Summary:
ΔH_f (0 K)	235	kJ/mol of formula units
Fermi-level density of states	12.23	states/eV per cell
polymorph energy (0 for the lowest one)	0.476	eV per atom
SG	No. 122
E_tot	-0.2702	hartree per atom